A PBEsol-optimized structure of NiPdCl3, computed with SCAN.

Output
- M_tot (μB per cell) = 2.878
- crystal system = cubic
- formation energy from raw total energies (meV/atom) = -145

CIF file:
```
data_NiPdCl3
_chemical_formula_sum 'Ni1 Pd1 Cl3'
_symmetry_space_group_name_H-M 'P m -3 m'
_symmetry_Int_Tables_number 221
_symmetry_space_group_name_Hall '-P 4 2 3'
_cell_length_a 4.5113
_cell_length_b 4.5113
_cell_length_c 4.5113
_cell_angle_alpha 90.00
_cell_angle_beta 90.00
_cell_angle_gamma 90.00
loop_
_atom_site_label
_atom_site_type_symbol
_atom_site_fract_x
_atom_site_fract_y
_atom_site_fract_z
Ni1 Ni 0.0000 0.0000 0.0000
Pd1 Pd 0.5000 0.5000 0.5000
Cl1 Cl 0.0000 0.0000 0.5000
```

***

A PBEsol-optimized structure of CsCaSc3, computed with SCAN.

Output
- M_tot (μB per cell) = 0.000
- crystal system = cubic
- formation enthalpy at 0 K (eV/atom) = 1.128

CIF file:
```
data_CsCaSc3
_chemical_formula_sum 'Cs1 Ca1 Sc3'
_symmetry_space_group_name_H-M 'P m -3 m'
_symmetry_Int_Tables_number 221
_symmetry_space_group_name_Hall '-P 4 2 3'
_cell_length_a 5.3456
_cell_length_b 5.3456
_cell_length_c 5.3456
_cell_angle_alpha 90.00
_cell_angle_beta 90.00
_cell_angle_gamma 90.00
loop_
_atom_site_label
_atom_site_type_symbol
_atom_site_fract_x
_atom_site_fract_y
_atom_site_fract_z
Cs1 Cs 0.0000 0.0000 0.0000
Ca1 Ca 0.5000 0.5000 0.5000
Sc1 Sc 0.0000 0.0000 0.5000
```

***

A PBEsol-optimized structure of Sc3Tc, computed with SCAN.

Output
- M_tot (μB per cell) = 0.000
- crystal system = trigonal
- formation enthalpy at 0 K (eV/atom) = 0.088

CIF file:
```
data_Sc3Tc
_chemical_formula_sum 'Sc9 Tc3'
_symmetry_space_group_name_H-M 'R -3 m'
_symmetry_Int_Tables_number 166
_symmetry_space_group_name_Hall '-R 3 2"'
_cell_length_a 9.3658
_cell_length_b 9.3658
_cell_length_c 2.9748
_cell_angle_alpha 90.00
_cell_angle_beta 90.00
_cell_angle_gamma 120.00
loop_
_atom_site_label
_atom_site_type_symbol
_atom_site_fract_x
_atom_site_fract_y
_atom_site_fract_z
Sc1 Sc 0.0000 0.5000 0.0000
Tc1 Tc 0.0000 0.0000 0.0000
```

***

A PBEsol-optimized structure of ErTmRu2, computed with SCAN.

Output
- M_tot (μB per cell) = 0.000
- crystal system = cubic
- formation enthalpy at 0 K (eV/atom) = -0.523

CIF file:
```
data_ErTmRu2
_chemical_formula_sum 'Er4 Tm4 Ru8'
_symmetry_space_group_name_H-M 'F m -3 m'
_symmetry_Int_Tables_number 225
_symmetry_space_group_name_Hall '-F 4 2 3'
_cell_length_a 6.6131
_cell_length_b 6.6131
_cell_length_c 6.6131
_cell_angle_alpha 90.00
_cell_angle_beta 90.00
_cell_angle_gamma 90.00
loop_
_atom_site_label
_atom_site_type_symbol
_atom_site_fract_x
_atom_site_fract_y
_atom_site_fract_z
Er1 Er 0.0000 0.0000 0.0000
Tm1 Tm 0.0000 0.0000 0.5000
Ru1 Ru 0.2500 0.2500 0.2500
```

***

A PBEsol-optimized structure of ZnSbPt2, computed with SCAN.

Output
- M_tot (μB per cell) = 0.000
- crystal system = tetragonal
- formation energy from raw total energies (meV/atom) = -233

CIF file:
```
data_ZnSbPt2
_chemical_formula_sum 'Zn2 Sb2 Pt4'
_symmetry_space_group_name_H-M 'I -4 m 2'
_symmetry_Int_Tables_number 119
_symmetry_space_group_name_Hall 'I -4 -2'
_cell_length_a 3.9152
_cell_length_b 3.9152
_cell_length_c 8.4929
_cell_angle_alpha 90.00
_cell_angle_beta 90.00
_cell_angle_gamma 90.00
loop_
_atom_site_label
_atom_site_type_symbol
_atom_site_fract_x
_atom_site_fract_y
_atom_site_fract_z
Zn1 Zn 0.0000 0.0000 0.0000
Sb1 Sb 0.0000 0.5000 0.2500
Pt1 Pt 0.0000 0.0000 0.5000
Pt2 Pt 0.0000 0.5000 0.7500
```

***

A PBEsol-optimized structure of Ta2CuRu, computed with SCAN.

Output
- M_tot (μB per cell) = 0.000
- crystal system = tetragonal
- formation enthalpy at 0 K (eV/atom) = -0.142

CIF file:
```
data_Ta2CuRu
_chemical_formula_sum 'Ta2 Cu1 Ru1'
_symmetry_space_group_name_H-M 'P 4/m m m'
_symmetry_Int_Tables_number 123
_symmetry_space_group_name_Hall '-P 4 2'
_cell_length_a 3.9905
_cell_length_b 3.9905
_cell_length_c 3.7464
_cell_angle_alpha 90.00
_cell_angle_beta 90.00
_cell_angle_gamma 90.00
loop_
_atom_site_label
_atom_site_type_symbol
_atom_site_fract_x
_atom_site_fract_y
_atom_site_fract_z
Ta1 Ta 0.0000 0.5000 0.0000
Cu1 Cu 0.0000 0.0000 0.5000
Ru1 Ru 0.5000 0.5000 0.5000
```

***

A PBEsol-optimized structure of TlCoIr, computed with SCAN.

Output
- M_tot (μB per cell) = 4.505
- crystal system = tetragonal
- formation enthalpy at 0 K (eV/atom) = 0.530

CIF file:
```
data_TlCoIr
_chemical_formula_sum 'Tl2 Co2 Ir2'
_symmetry_space_group_name_H-M 'I 4 m m'
_symmetry_Int_Tables_number 107
_symmetry_space_group_name_Hall 'I 4 -2'
_cell_length_a 2.8795
_cell_length_b 2.8795
_cell_length_c 11.1077
_cell_angle_alpha 90.00
_cell_angle_beta 90.00
_cell_angle_gamma 90.00
loop_
_atom_site_label
_atom_site_type_symbol
_atom_site_fract_x
_atom_site_fract_y
_atom_site_fract_z
Tl1 Tl 0.0000 0.0000 0.0000
Co1 Co 0.0000 0.0000 0.3246
Ir1 Ir 0.0000 0.0000 0.6909
```

***

A PBEsol-optimized structure of LiP2AuO, computed with SCAN.

Output
- M_tot (μB per cell) = 1.154
- crystal system = tetragonal
- formation energy from raw total energies (meV/atom) = 604

CIF file:
```
data_LiP2AuO
_chemical_formula_sum 'Li1 P2 Au1 O1'
_symmetry_space_group_name_H-M 'P 4/m m m'
_symmetry_Int_Tables_number 123
_symmetry_space_group_name_Hall '-P 4 2'
_cell_length_a 4.8557
_cell_length_b 4.8557
_cell_length_c 3.9868
_cell_angle_alpha 90.00
_cell_angle_beta 90.00
_cell_angle_gamma 90.00
loop_
_atom_site_label
_atom_site_type_symbol
_atom_site_fract_x
_atom_site_fract_y
_atom_site_fract_z
Li1 Li 0.0000 0.0000 0.0000
P1 P 0.0000 0.5000 0.5000
Au1 Au 0.5000 0.5000 0.5000
O1 O 0.5000 0.5000 0.0000
```

***

A PBEsol-optimized structure of BSbI2O, computed with SCAN.

Output
- M_tot (μB per cell) = 0.000
- crystal system = tetragonal
- formation energy from raw total energies (meV/atom) = 674

CIF file:
```
data_BSbI2O
_chemical_formula_sum 'B1 Sb1 I2 O1'
_symmetry_space_group_name_H-M 'P 4/m m m'
_symmetry_Int_Tables_number 123
_symmetry_space_group_name_Hall '-P 4 2'
_cell_length_a 5.9480
_cell_length_b 5.9480
_cell_length_c 4.0254
_cell_angle_alpha 90.00
_cell_angle_beta 90.00
_cell_angle_gamma 90.00
loop_
_atom_site_label
_atom_site_type_symbol
_atom_site_fract_x
_atom_site_fract_y
_atom_site_fract_z
B1 B 0.0000 0.0000 0.0000
Sb1 Sb 0.5000 0.5000 0.5000
I1 I 0.0000 0.5000 0.5000
O1 O 0.5000 0.5000 0.0000
```

***

A PBEsol-optimized structure of Sr2CuSi, computed with SCAN.

Output
- M_tot (μB per cell) = 0.000
- crystal system = orthorhombic
- formation energy from raw total energies (meV/atom) = 93

CIF file:
```
data_Sr2CuSi
_chemical_formula_sum 'Sr2 Cu1 Si1'
_symmetry_space_group_name_H-M 'P m m m'
_symmetry_Int_Tables_number 47
_symmetry_space_group_name_Hall '-P 2 2'
_cell_length_a 3.8663
_cell_length_b 4.9810
_cell_length_c 6.2555
_cell_angle_alpha 90.00
_cell_angle_beta 90.00
_cell_angle_gamma 90.00
loop_
_atom_site_label
_atom_site_type_symbol
_atom_site_fract_x
_atom_site_fract_y
_atom_site_fract_z
Sr1 Sr 0.0000 0.0000 0.0000
Sr2 Sr 0.5000 0.5000 0.5000
Cu1 Cu 0.0000 0.0000 0.5000
Si1 Si 0.5000 0.5000 0.0000
```

***

A PBEsol-optimized structure of BeIr3C, computed with SCAN.

Output
- M_tot (μB per cell) = 0.000
- crystal system = cubic
- formation enthalpy at 0 K (eV/atom) = 0.435

CIF file:
```
data_BeIr3C
_chemical_formula_sum 'Be1 Ir3 C1'
_symmetry_space_group_name_H-M 'P m -3 m'
_symmetry_Int_Tables_number 221
_symmetry_space_group_name_Hall '-P 4 2 3'
_cell_length_a 3.9869
_cell_length_b 3.9869
_cell_length_c 3.9869
_cell_angle_alpha 90.00
_cell_angle_beta 90.00
_cell_angle_gamma 90.00
loop_
_atom_site_label
_atom_site_type_symbol
_atom_site_fract_x
_atom_site_fract_y
_atom_site_fract_z
Be1 Be 0.0000 0.0000 0.0000
Ir1 Ir 0.0000 0.5000 0.5000
C1 C 0.5000 0.5000 0.5000
```

***

A PBEsol-optimized structure of RbCd3Pt, computed with SCAN.

Output
- M_tot (μB per cell) = 0.000
- crystal system = cubic
- formation enthalpy at 0 K (eV/atom) = -0.305

CIF file:
```
data_RbCd3Pt
_chemical_formula_sum 'Rb1 Cd3 Pt1'
_symmetry_space_group_name_H-M 'P m -3 m'
_symmetry_Int_Tables_number 221
_symmetry_space_group_name_Hall '-P 4 2 3'
_cell_length_a 5.2404
_cell_length_b 5.2404
_cell_length_c 5.2404
_cell_angle_alpha 90.00
_cell_angle_beta 90.00
_cell_angle_gamma 90.00
loop_
_atom_site_label
_atom_site_type_symbol
_atom_site_fract_x
_atom_site_fract_y
_atom_site_fract_z
Rb1 Rb 0.0000 0.0000 0.0000
Cd1 Cd 0.0000 0.5000 0.5000
Pt1 Pt 0.5000 0.5000 0.5000
```